## TlHg2As (GGA-PBEsol)

Data for TlHg2As after structural relaxation.

Geometry as POSCAR:
```
TlHg2As
1.0
5.010 0.000 0.000
0.000 5.010 0.000
0.000 0.000 7.441
Tl Hg As
2 4 2
direct
0.000 0.000 0.000
0.500 0.500 0.500
0.000 0.000 0.500
0.000 0.500 0.750
0.500 0.000 0.250
0.500 0.500 0.000
0.000 0.500 0.250
0.500 0.000 0.750
```

Properties
ΔE_f = 0.60 eV per formula unit
Spin magnetization = 0.00 μB per atom
Calculated volume = 23.35 A^3/atom
Energy above the most stable polymorph in this dataset = 0 meV/atom
Uncorrected energy = -2.07 eV per atom